1.
First-principles (GGA-PBEsol) data for a relaxed CaZnIr2 crystal, as listed in Alexandria via LeMat-Bulk.

Output
total DFT energy (no corrections) = -23.27 eV per cell
ΔH_f (0 K) = 0.09 eV/f.u.
total magnetic moment = 0.00 μB/cell

Unit cell a=2.897 b=2.897 c=7.608 alpha=90.00 beta=90.00 gamma=90.00
Fractional coordinates of all 4 atoms:
1 Ca 0.000 0.000 0.000
2 Zn 0.000 0.000 0.500
3 Ir 0.500 0.500 0.287
4 Ir 0.500 0.500 0.713

2.
First-principles (GGA-PBEsol) data for a relaxed CaZrIr crystal, as listed in Alexandria via LeMat-Bulk.

Output
total DFT energy (no corrections) = -18.35 eV per cell
polymorph energy (0 for the lowest one) = 1230 meV/atom
ΔH_f (0 K) = 2.70 eV/f.u.
total magnetic moment = 0.00 μB/cell

Unit cell a=4.484 b=4.484 c=4.484 alpha=60.00 beta=60.00 gamma=60.00
Fractional coordinates of all 3 atoms:
1 Ca 0.000 0.000 0.000
2 Zr 0.750 0.750 0.750
3 Ir 0.250 0.250 0.250

3.
First-principles (GGA-PBEsol) data for a relaxed CaZr2Ir crystal, as listed in Alexandria via LeMat-Bulk.

Output
total DFT energy (no corrections) = -31.12 eV per cell
polymorph energy (0 for the lowest one) = 0 meV/atom
ΔH_f (0 K) = -0.98 eV/f.u.
total magnetic moment = 0.00 μB/cell

Unit cell a=5.954 b=5.954 c=5.107 alpha=115.33 beta=115.33 gamma=32.24
Fractional coordinates of all 4 atoms:
1 Ca 0.000 0.000 0.000
2 Zr 0.206 0.206 0.706
3 Zr 0.794 0.794 0.294
4 Ir 0.500 0.500 0.500

4.
First-principles (GGA-PBEsol) data for a relaxed CaZr2Ir2 crystal, as listed in Alexandria via LeMat-Bulk.

Output
total DFT energy (no corrections) = -43.22 eV per cell
ΔH_f (0 K) = -3.26 eV/f.u.
total magnetic moment = 0.00 μB/cell

Unit cell a=6.323 b=6.323 c=6.323 alpha=138.64 beta=138.64 gamma=59.93
Fractional coordinates of all 5 atoms:
1 Ca 0.000 0.000 0.000
2 Zr 0.250 0.750 0.500
3 Zr 0.750 0.250 0.500
4 Ir 0.384 0.384 0.000
5 Ir 0.616 0.616 0.000

5.
First-principles (GGA-PBEsol) data for a relaxed Ca2ZrIr crystal, as listed in Alexandria via LeMat-Bulk.

Output
total DFT energy (no corrections) = -24.20 eV per cell
polymorph energy (0 for the lowest one) = 0 meV/atom
ΔH_f (0 K) = -1.02 eV/f.u.
total magnetic moment = 0.00 μB/cell

Unit cell a=3.448 b=3.448 c=8.921 alpha=90.00 beta=90.00 gamma=90.00
Fractional coordinates of all 4 atoms:
1 Ca 0.000 0.000 0.000
2 Ca 0.500 0.500 0.358
3 Zr 0.500 0.500 0.709
4 Ir 0.000 0.000 0.582

6.
First-principles (GGA-PBEsol) data for a relaxed CaZrIr crystal, as listed in Alexandria via LeMat-Bulk.

Output
total DFT energy (no corrections) = -22.04 eV per cell
polymorph energy (0 for the lowest one) = 0 meV/atom
ΔH_f (0 K) = -0.99 eV/f.u.
total magnetic moment = 0.00 μB/cell

Unit cell a=6.610 b=6.610 c=6.610 alpha=150.60 beta=150.60 gamma=42.07
Fractional coordinates of all 3 atoms:
1 Ca 0.000 0.000 0.000
2 Zr 0.737 0.737 0.000
3 Ir 0.337 0.337 0.000

7.
First-principles (GGA-PBEsol) data for a relaxed CaZr2Ir crystal, as listed in Alexandria via LeMat-Bulk.

Output
total DFT energy (no corrections) = -29.76 eV per cell
polymorph energy (0 for the lowest one) = 341 meV/atom
ΔH_f (0 K) = 0.38 eV/f.u.
total magnetic moment = 1.89 μB/cell

Unit cell a=4.842 b=4.842 c=4.842 alpha=60.00 beta=60.00 gamma=60.00
Fractional coordinates of all 4 atoms:
1 Ca 0.000 0.000 0.000
2 Zr 0.250 0.250 0.250
3 Zr 0.500 0.500 0.500
4 Ir 0.750 0.750 0.750

8.
First-principles (GGA-PBEsol) data for a relaxed CaZrIr crystal, as listed in Alexandria via LeMat-Bulk.

Output
total DFT energy (no corrections) = -21.29 eV per cell
polymorph energy (0 for the lowest one) = 249 meV/atom
ΔH_f (0 K) = -0.25 eV/f.u.
total magnetic moment = 0.00 μB/cell

Unit cell a=4.626 b=4.626 c=3.149 alpha=90.00 beta=90.00 gamma=120.00
Fractional coordinates of all 3 atoms:
1 Ca 0.000 0.000 0.000
2 Zr 0.333 0.667 0.391
3 Ir 0.667 0.333 0.652

9.
First-principles (GGA-PBEsol) data for a relaxed CaZrIr3 crystal, as listed in Alexandria via LeMat-Bulk.

Output
total DFT energy (no corrections) = -36.47 eV per cell
ΔH_f (0 K) = 4.22 eV/f.u.
total magnetic moment = 0.00 μB/cell

Unit cell a=4.832 b=4.832 c=4.832 alpha=90.00 beta=90.00 gamma=90.00
Fractional coordinates of all 5 atoms:
1 Ca 0.000 0.000 0.000
2 Zr 0.500 0.500 0.500
3 Ir 0.000 0.500 0.500
4 Ir 0.500 0.000 0.500
5 Ir 0.500 0.500 0.000

10.
First-principles (GGA-PBEsol) data for a relaxed Ca2ZrIr crystal, as listed in Alexandria via LeMat-Bulk.

Output
total DFT energy (no corrections) = -23.04 eV per cell
polymorph energy (0 for the lowest one) = 292 meV/atom
ΔH_f (0 K) = 0.14 eV/f.u.
total magnetic moment = 0.00 μB/cell

Unit cell a=4.058 b=4.058 c=5.175 alpha=90.00 beta=90.00 gamma=90.00
Fractional coordinates of all 4 atoms:
1 Ca 0.000 0.500 0.000
2 Ca 0.500 0.000 0.000
3 Zr 0.000 0.000 0.500
4 Ir 0.500 0.500 0.500

11.
First-principles (GGA-PBEsol) data for a relaxed CaZrIr4 crystal, as listed in Alexandria via LeMat-Bulk.

Output
total DFT energy (no corrections) = -53.83 eV per cell
ΔH_f (0 K) = -3.32 eV/f.u.
total magnetic moment = 0.00 μB/cell

Unit cell a=5.234 b=5.234 c=5.234 alpha=60.00 beta=60.00 gamma=60.00
Fractional coordinates of all 6 atoms:
1 Ca 0.000 0.000 0.000
2 Zr 0.250 0.250 0.250
3 Ir 0.125 0.625 0.625
4 Ir 0.625 0.125 0.625
5 Ir 0.625 0.625 0.125
6 Ir 0.625 0.625 0.625

12.
First-principles (GGA-PBEsol) data for a relaxed K3Ca crystal, as listed in Alexandria via LeMat-Bulk.

Output
total DFT energy (no corrections) = -4.99 eV per cell
ΔH_f (0 K) = 0.54 eV/f.u.
total magnetic moment = 0.00 μB/cell

Unit cell a=8.217 b=8.217 c=8.217 alpha=117.23 beta=117.23 gamma=117.23
Fractional coordinates of all 4 atoms:
1 K 0.000 0.500 0.500
2 K 0.500 0.000 0.500
3 K 0.500 0.500 0.000
4 Ca 0.000 0.000 0.000

Number 1: volume 64 Å³/cell. Number 2: volume 64 Å³/cell. Number 3: volume 86 Å³/cell. Number 4: volume 109 Å³/cell. Number 5: volume 106 Å³/cell. Number 6: volume 69 Å³/cell. Number 7: volume 80 Å³/cell. Number 8: volume 58 Å³/cell. Number 9: volume 113 Å³/cell. Number 10: volume 85 Å³/cell. Number 11: volume 101 Å³/cell. Number 12: volume 235 Å³/cell.